DFT (PBE) results for Er3Cd3Ga2Ag after structural relaxation.

POSCAR file:
```
Er3Cd3Ga2Ag
1.0
7.301 0.000 0.000
-3.651 6.323 0.000
0.000 0.000 4.319
Er Cd Ga Ag
3 3 2 1
Direct
0.000 0.579 0.000
0.421 0.421 0.000
0.579 0.000 0.000
0.000 0.253 0.500
0.253 0.000 0.500
0.747 0.747 0.500
0.333 0.667 0.500
0.667 0.333 0.500
0.000 0.000 0.000
```

As for the crystal system: hexagonal. For the volume, the calculation gives 199.4 Å³/cell. The value obtained for the density is 9.05 Mg/m³. As for the electronic total energy: -3.28 eV/atom.

---

DFT (PBE) results for CsLuZnSe3 after structural relaxation.

POSCAR file:
```
CsLuZnSe3
1.0
9.130 -2.113 0.000
9.130 2.113 0.000
-1.520 0.000 9.091
Cs Lu Zn Se
2 2 2 6
Direct
0.152 0.152 0.060
0.848 0.848 0.940
0.166 0.166 0.558
0.834 0.834 0.442
0.478 0.478 0.267
0.522 0.522 0.733
0.000 0.000 0.500
0.322 0.322 0.636
0.344 0.344 0.244
0.500 0.500 0.000
0.656 0.656 0.756
0.678 0.678 0.364
```

As for the crystal system: monoclinic. For the volume, the calculation gives 350.8 Å³/cell. The value obtained for the density is 5.78 Mg/m³. As for the electronic total energy: -4.03 eV/atom.

---

DFT (PBE) results for LiCo after structural relaxation.

POSCAR file:
```
LiCo
1.0
0.000 2.285 2.285
2.285 0.000 2.285
2.285 2.285 0.000
Li Co
1 1
Direct
0.000 0.000 0.000
0.500 0.500 0.500
```

As for the crystal system: cubic. For the volume, the calculation gives 23.9 Å³/cell. The value obtained for the density is 4.58 Mg/m³. As for the electronic total energy: -3.65 eV/atom.

---

DFT (PBE) results for K2SbAu after structural relaxation.

POSCAR file:
```
K2SbAu
1.0
5.300 -3.956 0.000
5.300 3.956 0.000
0.000 0.000 6.658
K Sb Au
4 2 2
Direct
0.003 0.339 0.250
0.339 0.003 0.750
0.661 0.997 0.250
0.997 0.661 0.750
0.233 0.767 0.250
0.767 0.233 0.750
0.500 0.500 0.000
0.500 0.500 0.500
```

As for the crystal system: orthorhombic. For the volume, the calculation gives 279.2 Å³/cell. The value obtained for the density is 4.72 Mg/m³. As for the electronic total energy: -2.92 eV/atom.

---

Question: electronic total energy of number 2 (CsLuZnSe3)?
Answer: -4.03 eV/atom

---

What did the third record say?
DFT (PBE) results for LiCo after structural relaxation.

POSCAR file:
```
LiCo
1.0
0.000 2.285 2.285
2.285 0.000 2.285
2.285 2.285 0.000
Li Co
1 1
Direct
0.000 0.000 0.000
0.500 0.500 0.500
```

As for the crystal system: cubic. For the volume, the calculation gives 23.9 Å³/cell. The value obtained for the density is 4.58 Mg/m³. As for the electronic total energy: -3.65 eV/atom.

---

Question: Which of these has the highest density?
Answer: Er3Cd3Ga2Ag